The following is a DFT calculation (GGA-PBE) of a geometry-optimized NaLaCdGe structure.

- SG = No. 216
- DOS(E_F) (states/eV per cell) = 1.7
- formation energy from the elements (eV per atom) = -0.346
- density (Mg/m³) = 5.55
- raw total energy (eV per cell) = -13.16

Cell: 5.275 5.275 5.275 Å, 60.00 60.00 60.00°
Element x y z (fractional)
Ge (0.250, 0.250, 0.250)
Cd (0.750, 0.750, 0.750)
La (0.000, 0.000, 0.000)
Na (0.500, 0.500, 0.500)